Ac2PuPd, optimized geometry, DFT GGA-PBE; total magnetization = 6.67 Bohr magnetons per cell; DOS(E_F) = 13.2 states/eV per cell; density = 8.99 Mg/m³; formation energy = 1.9 kcal/mol of atoms
1.0
1.974 1.140 11.008
-1.974 1.140 11.008
0.000 -2.280 11.008
Ac Pu Pd
2 1 1
Direct
0.107 0.107 0.107 Ac
0.893 0.893 0.893 Ac
0.000 0.000 0.000 Pu
0.500 0.500 0.500 Pd